# 1
Entry from Alexandria: a relaxed TaBe2Os crystal (GGA-PBE).

Formation energy from the elements: -0.121 eV per atom
Relative energy among the computed polymorphs: 179.6 meV/atom
Crystal system: cubic

a b c (Å): 5.7689 5.7689 5.7689
angles (deg): 90.00 90.00 90.00
Space group Fm-3m (No. 225)
Symmetry-distinct sites (fractional):
1 Ta 0.0000 0.0000 0.0000 [4 per cell]
2 Be 0.2500 0.2500 0.2500 [8 per cell]
3 Os 0.0000 0.0000 0.5000 [4 per cell]


# 2
Entry from Alexandria: a relaxed La2Ag2W crystal (GGA-PBE).

Formation energy from the elements: 0.393 eV per atom
Relative energy among the computed polymorphs: 0.0 meV/atom
Crystal system: tetragonal

a b c (Å): 3.7437 3.7437 18.5491
angles (deg): 90.00 90.00 90.00
Space group I4/mmm (No. 139)
Symmetry-distinct sites (fractional):
1 La 0.0000 0.0000 0.0943 [4 per cell]
2 Ag 0.0000 0.5000 0.2500 [4 per cell]
3 W 0.0000 0.0000 0.5000 [2 per cell]


# 3
Entry from Alexandria: a relaxed Na4Ce3FeS8 crystal (GGA-PBE).

Formation energy (no corrections): -1438.4 meV/atom
Crystal system: trigonal

a b c (Å): 8.0085 8.0085 19.9586
angles (deg): 90.00 90.00 120.00
Space group R-3m (No. 166, hexagonal axes)
Symmetry-distinct sites (fractional):
1 Na 0.0000 0.0000 0.0000 [3 per cell]
2 Na 0.0000 0.5000 0.0000 [9 per cell]
3 Ce 0.0000 0.5000 0.5000 [9 per cell]
4 Fe 0.0000 0.0000 0.5000 [3 per cell]
5 S 0.0000 0.0000 0.2453 [6 per cell]
6 S 0.0134 0.5067 0.2410 [18 per cell]


# 4
Entry from Alexandria: a relaxed Sr2AlGeSe5 crystal (GGA-PBE).

Formation energy (no corrections): -1190.1 meV/atom
Crystal system: orthorhombic

a b c (Å): 4.0171 18.9627 12.5400
angles (deg): 90.00 90.00 90.00
Space group Cmc2_1 (No. 36)
Symmetry-distinct sites (fractional):
1 Sr 0.0000 0.1102 0.0000 [4 per cell]
2 Sr 0.0000 0.1217 0.6234 [4 per cell]
3 Al 0.0000 0.4332 0.7683 [4 per cell]
4 Ge 0.0000 0.2250 0.3477 [4 per cell]
5 Se 0.0000 0.0462 0.3757 [4 per cell]
6 Se 0.0000 0.2772 0.9919 [4 per cell]
7 Se 0.0000 0.3128 0.6991 [4 per cell]
8 Se 0.0000 0.3545 0.3156 [4 per cell]
9 Se 0.0000 0.4966 0.6052 [4 per cell]


# 5
Entry from Alexandria: a relaxed SrRe2As crystal (GGA-PBE).

Formation energy from the elements: 0.640 eV per atom
Crystal system: tetragonal

a b c (Å): 4.7757 4.7757 17.5608
angles (deg): 90.00 90.00 90.00
Space group I-42d (No. 122)
Symmetry-distinct sites (fractional):
1 Sr 0.0000 0.0000 0.0000 [4 per cell]
2 Re 0.0507 0.7500 0.6250 [8 per cell]
3 As 0.0000 0.0000 0.5000 [4 per cell]


# 6
Entry from Alexandria: a relaxed Tb4ThSc crystal (GGA-PBE).

Formation energy from the elements: 0.035 eV per atom
Relative energy among the computed polymorphs: 0.0 meV/atom
Crystal system: monoclinic

a b c (Å): 18.2860 3.5348 6.0080
angles (deg): 90.00 108.84 90.00
Space group C2/m (No. 12)
Symmetry-distinct sites (fractional):
1 Tb 0.1624 0.0000 0.4986 [4 per cell]
2 Tb 0.1649 0.5000 0.0068 [4 per cell]
3 Th 0.0000 0.0000 0.0000 [2 per cell]
4 Sc 0.0000 0.5000 0.5000 [2 per cell]


# 7
Entry from Alexandria: a relaxed Na4AuO crystal (GGA-PBE).

Relative energy among the computed polymorphs: 0.0 meV/atom
Formation energy (no corrections): -679.6 meV/atom
Crystal system: orthorhombic

a b c (Å): 4.5429 18.6884 6.6532
angles (deg): 90.00 90.00 90.00
Space group Cmcm (No. 63)
Symmetry-distinct sites (fractional):
1 Na 0.0000 0.0000 0.0000 [4 per cell]
2 Na 0.0000 0.1704 0.0062 [8 per cell]
3 Na 0.0000 0.4224 0.7500 [4 per cell]
4 Au 0.0000 0.4024 0.2500 [4 per cell]
5 O 0.0000 0.0872 0.2500 [4 per cell]


# 8
Entry from Alexandria: a relaxed LaHfRu3 crystal (GGA-PBE).

Formation energy from the elements: 1.413 eV per atom
Relative energy among the computed polymorphs: 798.7 meV/atom
Crystal system: cubic

a b c (Å): 4.7484 4.7484 4.7484
angles (deg): 90.00 90.00 90.00
Space group Pm-3m (No. 221)
Symmetry-distinct sites (fractional):
1 La 0.0000 0.0000 0.0000 [1 per cell]
2 Hf 0.5000 0.5000 0.5000 [1 per cell]
3 Ru 0.0000 0.0000 0.5000 [3 per cell]


# 9
Entry from Alexandria: a relaxed PmNi9Ge2 crystal (GGA-PBE).

Formation energy from the elements: -0.152 eV per atom
Crystal system: trigonal

a b c (Å): 4.8831 4.8831 23.0742
angles (deg): 90.00 90.00 120.00
Space group R-3m (No. 166, hexagonal axes)
Symmetry-distinct sites (fractional):
1 Pm 0.0000 0.0000 0.0000 [3 per cell]
2 Ni 0.0000 0.0000 0.3341 [6 per cell]
3 Ni 0.0000 0.0000 0.5000 [3 per cell]
4 Ni 0.0065 0.5032 0.9122 [18 per cell]
5 Ge 0.0000 0.0000 0.1398 [6 per cell]


# 10
Entry from Alexandria: a relaxed SrLa2HF crystal (GGA-PBE).

Raw total energy: -3.111 eV/atom
Crystal system: tetragonal

a b c (Å): 6.2654 6.2654 4.0431
angles (deg): 90.00 90.00 90.00
Space group P4/mmm (No. 123)
Symmetry-distinct sites (fractional):
1 Sr 0.0000 0.0000 0.0000 [1 per cell]
2 La 0.0000 0.5000 0.0000 [2 per cell]
3 H 0.0000 0.0000 0.5000 [1 per cell]
4 F 0.5000 0.5000 0.5000 [1 per cell]


# 11
Entry from Alexandria: a relaxed La2FeSb crystal (GGA-PBE).

Formation energy (no corrections): -205.8 meV/atom
Crystal system: tetragonal

a b c (Å): 8.1230 8.1230 6.3104
angles (deg): 90.00 90.00 90.00
Space group I-42d (No. 122)
Symmetry-distinct sites (fractional):
1 La 0.1742 0.2500 0.1250 [8 per cell]
2 Fe 0.0000 0.0000 0.0000 [4 per cell]
3 Sb 0.0000 0.0000 0.5000 [4 per cell]


# 12
Entry from Alexandria: a relaxed Y2ZrTe crystal (GGA-PBE).

Formation energy (no corrections): -480.7 meV/atom
Crystal system: orthorhombic

a b c (Å): 4.9457 3.8208 11.6445
angles (deg): 90.00 90.00 90.00
Space group Amm2 (No. 38)
Symmetry-distinct sites (fractional):
1 Y 0.0000 0.0000 0.0000 [2 per cell]
2 Y 0.5000 0.0000 0.3036 [2 per cell]
3 Zr 0.5000 0.0000 0.5748 [2 per cell]
4 Te 0.0000 0.0000 0.7238 [2 per cell]


# 13
Entry from Alexandria: a relaxed RbGaSb2Pb crystal (GGA-PBE).

Relative energy among the computed polymorphs: 0.0 meV/atom
Formation energy (no corrections): -180.1 meV/atom
Crystal system: monoclinic

a b c (Å): 17.4261 4.5009 11.8847
angles (deg): 90.00 124.90 90.00
Space group C2/m (No. 12)
Symmetry-distinct sites (fractional):
1 Rb 0.1994 0.0000 0.1497 [4 per cell]
2 Ga 0.0500 0.0000 0.6929 [4 per cell]
3 Sb 0.0822 0.5000 0.8450 [4 per cell]
4 Sb 0.1336 0.0000 0.5448 [4 per cell]
5 Pb 0.1367 0.5000 0.3771 [4 per cell]


# 14
Entry from Alexandria: a relaxed Cr2FePt crystal (GGA-PBE).

Formation energy from the elements: 0.091 eV per atom
Crystal system: cubic

a b c (Å): 5.9935 5.9935 5.9935
angles (deg): 90.00 90.00 90.00
Space group F-43m (No. 216)
Symmetry-distinct sites (fractional):
1 Cr 0.0000 0.0000 0.0000 [4 per cell]
2 Cr 0.2500 0.2500 0.2500 [4 per cell]
3 Fe 0.0000 0.0000 0.5000 [4 per cell]
4 Pt 0.2500 0.2500 0.7500 [4 per cell]


# 15
Entry from Alexandria: a relaxed KRbGa2Cl8 crystal (GGA-PBE).

Formation energy (no corrections): -1493.6 meV/atom
Crystal system: trigonal

a b c (Å): 6.8734 6.8734 28.8563
angles (deg): 90.00 90.00 120.00
Space group R-3 (No. 148, hexagonal axes)
Symmetry-distinct sites (fractional):
1 K 0.0000 0.0000 0.0000 [3 per cell]
2 Rb 0.0000 0.0000 0.5000 [3 per cell]
3 Ga 0.0000 0.0000 0.2436 [6 per cell]
4 Cl 0.0000 0.0000 0.1673 [6 per cell]
5 Cl 0.0058 0.6118 0.9349 [18 per cell]


# 16
Entry from Alexandria: a relaxed PaCdRuO6 crystal (GGA-PBE).

Formation energy (no corrections): -1919.1 meV/atom
Crystal system: tetragonal

a b c (Å): 4.9926 4.9926 9.9385
angles (deg): 90.00 90.00 90.00
Space group P4_2nm (No. 102)
Symmetry-distinct sites (fractional):
1 Pa 0.0000 0.0000 0.0000 [2 per cell]
2 Cd 0.0000 0.0000 0.6697 [2 per cell]
3 Ru 0.0000 0.0000 0.3346 [2 per cell]
4 O 0.1792 0.1792 0.1819 [4 per cell]
5 O 0.1934 0.1934 0.4811 [4 per cell]
6 O 0.2200 0.2200 0.8454 [4 per cell]


# 17
Entry from Alexandria: a relaxed Ta4PtAu crystal (GGA-PBE).

Formation energy from the elements: 0.234 eV per atom
Crystal system: cubic

a b c (Å): 7.6088 7.6088 7.6088
angles (deg): 90.00 90.00 90.00
Space group F-43m (No. 216)
Symmetry-distinct sites (fractional):
1 Ta 0.1249 0.1249 0.1249 [16 per cell]
2 Pt 0.0000 0.0000 0.5000 [4 per cell]
3 Au 0.2500 0.2500 0.7500 [4 per cell]


# 18
Entry from Alexandria: a relaxed CsCdGe3 crystal (GGA-PBE).

Formation energy from the elements: 0.634 eV per atom
Relative energy among the computed polymorphs: 0.0 meV/atom
Crystal system: cubic

a b c (Å): 5.4349 5.4349 5.4349
angles (deg): 90.00 90.00 90.00
Space group Pm-3m (No. 221)
Symmetry-distinct sites (fractional):
1 Cs 0.0000 0.0000 0.0000 [1 per cell]
2 Cd 0.5000 0.5000 0.5000 [1 per cell]
3 Ge 0.0000 0.5000 0.5000 [3 per cell]


# 19
Entry from Alexandria: a relaxed Sn3Ge crystal (GGA-PBE).

Formation energy from the elements: 0.135 eV per atom
Crystal system: orthorhombic

a b c (Å): 3.2743 10.7822 5.8274
angles (deg): 90.00 90.00 90.00
Space group Imm2 (No. 44)
Symmetry-distinct sites (fractional):
1 Sn 0.0000 0.0000 0.0000 [2 per cell]
2 Sn 0.0000 0.2247 0.6033 [4 per cell]
3 Ge 0.0000 0.5000 0.9414 [2 per cell]


# 20
Entry from Alexandria: a relaxed Ag2PbF4 crystal (GGA-PBE).

Relative energy among the computed polymorphs: 0.0 meV/atom
Formation energy (no corrections): -1559.1 meV/atom
Crystal system: monoclinic

a b c (Å): 10.8975 7.9010 7.7072
angles (deg): 90.00 134.96 90.00
Space group C2/c (No. 15)
Symmetry-distinct sites (fractional):
1 Ag 0.0000 0.0000 0.0000 [4 per cell]
2 Ag 0.2500 0.2500 0.0000 [4 per cell]
3 Pb 0.0000 0.3752 0.2500 [4 per cell]
4 F 0.0009 0.3279 0.5703 [8 per cell]
5 F 0.1807 0.0769 0.4302 [8 per cell]


no.,M_tot (μB per atom)
1,0.0000
2,0.0000
3,0.3477
4,0.0000
5,0.0000
6,0.0000
7,0.0000
8,0.1793
9,0.0000
10,0.2654
11,0.0000
12,0.0002
13,0.0000
14,1.0014
15,0.0000
16,0.3348
17,0.0000
18,0.0000
19,0.0000
20,0.0000